LiMgBr | GGA-PBE | optimized geometry

```
data_LiMgBr
_chemical_formula_sum 'Li1 Mg1 Br1'
_cell_length_a 7.191
_cell_length_b 7.191
_cell_length_c 7.191
_cell_angle_alpha 151.69
_cell_angle_beta 151.69
_cell_angle_gamma 40.46
_space_group_name_H-M_alt 'P 1'
_space_group_IT_number 1
loop_
_space_group_symop_operation_xyz
'x,y,z'
loop_
_atom_site_label
_atom_site_type_symbol
_atom_site_fract_x
_atom_site_fract_y
_atom_site_fract_z
_atom_site_occupancy
Li1 Li 0.000 0.000 0.000 1
Mg1 Mg 0.321 0.321 0.000 1
Br1 Br 0.551 0.551 0.000 1
```

Computed properties:
- Formation energy from raw total energies: -639 meV/atom
- ΔE to the lowest computed polymorph: 0.173 eV/atom
- DOS(E_F): 0.62 states/eV/f.u.
- V: 27.81 A^3/atom
- Total moment: 0.0 μB/cell